## a
Here is Ca2HfTiO6 after structural relaxation from Alexandria. Energies are from PBE.

Computed properties:
The calculation puts the density of states at the Fermi level at 0.00 states/eV per atom. For the total moment, the calculation gives 0.000 μB/atom. As for the space-group type: Fm-3m (225).

Cell: 5.6495 5.6495 5.6495 Å, 60.00 60.00 60.00°
Last column: nearest neighbours and their distance in Å.
Fractional positions:
Ca 0.2500 0.2500 0.2500  12 O 2.83
Ca 0.7500 0.7500 0.7500  12 O 2.83
Hf 0.0000 0.0000 0.0000  6 O 2.05
Ti 0.5000 0.5000 0.5000  6 O 1.95
O 0.2561 0.7439 0.2561  1 Ti 1.95, 1 Hf 2.05
O 0.7439 0.2561 0.7439  1 Ti 1.95, 1 Hf 2.05
O 0.7439 0.7439 0.2561  1 Ti 1.95, 1 Hf 2.05
O 0.2561 0.2561 0.7439  1 Ti 1.95, 1 Hf 2.05
O 0.2561 0.7439 0.7439  1 Ti 1.95, 1 Hf 2.05
O 0.7439 0.2561 0.2561  1 Ti 1.95, 1 Hf 2.05

=====

## b
Here is Ca2HfTiO6 after structural relaxation from Alexandria. Energies are from PBE.

Computed properties:
The calculation puts the density of states at the Fermi level at 0.00 states/eV per atom. For the total moment, the calculation gives 0.000 μB/atom. As for the space-group type: P2_1/c (14).

Cell: 5.5000 5.6409 7.8570 Å, 90.00 90.22 90.00°
Last column: nearest neighbours and their distance in Å.
Fractional positions:
Ca 0.0115 0.9528 0.2499  6 O 2.35-2.63
Ca 0.5115 0.5472 0.7499  6 O 2.35-2.63
Ca 0.9885 0.0472 0.7501  6 O 2.35-2.63
Ca 0.4885 0.4528 0.2501  6 O 2.35-2.63
Hf 0.5000 0.0000 0.0000  6 O 2.08-2.09
Hf 0.0000 0.5000 0.5000  6 O 2.08-2.09
Ti 0.5000 0.0000 0.5000  6 O 1.98-1.99
Ti 0.0000 0.5000 0.0000  6 O 1.98-1.99
O 0.2890 0.7002 0.0474  1 Ti 1.98, 1 Hf 2.09
O 0.7890 0.7998 0.5474  1 Ti 1.98, 1 Hf 2.09
O 0.7110 0.2998 0.9526  1 Ti 1.98, 1 Hf 2.09
O 0.2110 0.2002 0.4526  1 Ti 1.98, 1 Hf 2.09
O 0.3021 0.7115 0.4514  1 Ti 1.99, 1 Hf 2.08
O 0.8021 0.7885 0.9514  1 Ti 1.99, 1 Hf 2.08
O 0.6979 0.2885 0.5486  1 Ti 1.99, 1 Hf 2.08
O 0.1979 0.2115 0.0486  1 Ti 1.99, 1 Hf 2.08
O 0.9090 0.5285 0.2435  1 Ti 1.99, 1 Hf 2.08
O 0.4090 0.9715 0.7435  1 Ti 1.99, 1 Hf 2.08
O 0.0910 0.4715 0.7565  1 Ti 1.99, 1 Hf 2.08
O 0.5910 0.0285 0.2565  1 Ti 1.99, 1 Hf 2.08

=====

Going by the computed energies, the most stable comes first: b, a.

=====

## a
Here is CaHf3P after structural relaxation from Alexandria. Energies are from PBE.

Computed properties:
The calculation puts the density of states at the Fermi level at 1.56 states/eV per atom. For the total moment, the calculation gives 0.000 μB/atom. As for the space-group type: Pm-3m (221).

Cell: 4.9893 4.9893 4.9893 Å, 90.00 90.00 90.00°
Last column: nearest neighbours and their distance in Å.
Fractional positions:
P 0.5000 0.5000 0.5000  12 Hf 3.53
Ca 0.0000 0.0000 0.0000  6 Hf 2.49
Hf 0.0000 0.5000 0.0000  2 Ca 2.49
Hf 0.0000 0.0000 0.5000  2 Ca 2.49
Hf 0.5000 0.0000 0.0000  2 Ca 2.49

=====

## b
Here is CaHf3P after structural relaxation from Alexandria. Energies are from PBE.

Computed properties:
The calculation puts the density of states at the Fermi level at 0.67 states/eV per atom. For the total moment, the calculation gives 0.000 μB/atom. As for the space-group type: Pm-3m (221).

Cell: 4.9589 4.9589 4.9589 Å, 90.00 90.00 90.00°
Last column: nearest neighbours and their distance in Å.
Fractional positions:
P 0.0000 0.0000 0.0000  6 Hf 2.48
Ca 0.5000 0.5000 0.5000  12 Hf 3.51
Hf 0.0000 0.5000 0.0000  2 P 2.48
Hf 0.0000 0.0000 0.5000  2 P 2.48
Hf 0.5000 0.0000 0.0000  2 P 2.48

=====

Going by the computed energies, the most stable comes first: b, a.